Entry 1:
Entry from Alexandria via LeMat-Bulk: a geometry-optimized Nd2Sm2Th structure (PBE).

Geometry as extended XYZ:
```
5
Lattice="3.563 0.000 0.000 0.000 5.520 -0.104 0.000 -2.596 8.665" Properties=species:S:1:pos:R:3 pbc="T T T"
Th 0.000 0.000 0.000
Nd 1.782 2.795 1.718
Nd 1.782 0.128 6.842
Sm 0.000 0.065 3.399
Sm 0.000 2.858 5.161
```

Output
SG = Cmmm, No. 65
Energy of formation = 0.074 eV/atom
M_tot = 0.0 μB/f.u.
ΔE to the lowest computed polymorph = 54 meV/atom
DOS at the Fermi energy = 7.01 states/eV/f.u.

Entry 2:
Entry from Alexandria via LeMat-Bulk: a geometry-optimized GaCu3Au6 structure (PBE).

Geometry as extended XYZ:
```
20
Lattice="-0.360 -2.248 -4.895 -2.873 -7.558 3.683 -4.775 6.936 -2.835" Properties=species:S:1:pos:R:3 pbc="T T T"
Au -3.578 -3.275 0.469
Au -6.049 -5.204 -2.323
Au -4.968 4.703 -6.214
Au -4.407 0.548 -4.203
Au -3.035 -7.538 2.244
Au -1.499 -4.834 -2.828
Au -5.488 -1.223 -2.207
Au -2.649 -0.992 -2.522
Au -6.593 1.440 -2.358
Au -2.043 1.810 -2.863
Au -2.364 -0.671 0.286
Au -5.203 -0.902 0.601
Ga -4.409 2.911 -2.484
Ga -3.597 -5.768 -1.534
Cu -1.974 -0.357 -5.070
Cu -4.088 0.837 -1.110
Cu -6.794 -0.749 -4.536
Cu -1.325 -2.812 -1.014
Cu -3.865 -3.358 -2.176
Cu -6.144 -3.204 -0.479
```

Output
SG = Cmc2_1, No. 36
Energy of formation = -0.007 eV/atom
M_tot = 0.0 μB/f.u.
ΔE to the lowest computed polymorph = 0 meV/atom
DOS at the Fermi energy = 2.67 states/eV/f.u.

Entry 3:
Entry from Alexandria via LeMat-Bulk: a geometry-optimized Sc2Co5P3 structure (PBE).

Geometry as extended XYZ:
```
20
Lattice="-0.808 3.533 -0.788 0.415 -1.241 -5.987 -10.269 -4.258 0.172" Properties=species:S:1:pos:R:3 pbc="T T T"
Co -4.689 0.204 -3.007
Co -8.003 -0.982 -4.924
Co -8.418 -2.490 -2.532
Co -2.127 0.170 -5.784
Co -9.807 -0.556 -1.164
Co -5.832 -2.593 -5.642
Co -2.677 -0.931 -1.430
Co -4.857 0.697 -0.622
Co -0.984 -1.027 -3.592
Co -5.994 -2.098 -3.258
P -4.874 -1.434 -1.429
P -2.589 0.564 -3.546
P -5.812 -0.461 -4.832
P -0.603 -1.438 -5.827
P -8.266 -1.953 -0.281
P -9.877 -1.073 -3.409
Sc -3.445 -1.787 -4.479
Sc -9.909 -3.328 -4.759
Sc -7.231 -0.141 -1.945
Sc -0.746 1.340 -1.956
```

Output
SG = Cmc2_1, No. 36
Energy of formation = -0.810 eV/atom
M_tot = 2.2 μB/f.u.
DOS at the Fermi energy = 5.71 states/eV/f.u.

Record order is preserved below.
VASP energy: -26.02, -70.09, -145.04 eV/cell